Material: IrPt2
Method: DFT, meta-GGA SCAN
State: single point on PBEsol structure

## Properties
M_tot (μB/f.u.): 0.00
Formation enthalpy at 0 K (eV per atom): 0.355
Volume (Å³/cell): 45
Excess energy over the best structure of this formula in the dataset (meV per atom): 265

a = 4.4304 Å, b = 4.4304 Å, c = 2.6487 Å
α = 90.00°, β = 90.00°, γ = 120.00°
Atoms (fractional coordinates):
Ir: 0.0000 0.0000 0.0000
Pt: 0.3333 0.6667 0.5000
Pt: 0.6667 0.3333 0.5000